A plane-wave DFT calculation with PBE was carried out for a relaxed structure of PaSi2Pd.

The size of the total moment is 0.00 μB/cell. The formation energy (no corrections) comes out at -697 meV per atom. Its crystal system is orthorhombic. The space-group type is Pnma, No. 62. For the theoretical density, the calculation gives 9.2 Mg/m³.

Unit cell a=4.079 b=7.063 c=9.887 alpha=90.00 beta=90.00 gamma=90.00
Positions (direct):
Pa 0.750 0.641 0.629
Pa 0.250 0.859 0.129
Pa 0.250 0.359 0.371
Pa 0.750 0.141 0.871
Si 0.750 0.229 0.575
Si 0.250 0.271 0.075
Si 0.250 0.771 0.425
Si 0.750 0.729 0.925
Si 0.750 0.652 0.319
Si 0.250 0.848 0.819
Si 0.250 0.348 0.681
Si 0.750 0.152 0.181
Pd 0.750 0.989 0.393
Pd 0.250 0.511 0.893
Pd 0.250 0.011 0.607
Pd 0.750 0.489 0.107